Ac4Pr2Sm: relaxed, PBE.

```
Ac4Pr2Sm
1.0
13.0547 0.0000 0.0000
0.0000 6.1030 0.0000
-5.2564 0.0000 7.4553
Ac Pr Sm
8 4 2
direct
0.1583 0.0000 0.0159
0.1721 0.0000 0.5618
0.3279 0.5000 0.4382
0.3417 0.5000 0.9841
0.6583 0.5000 0.0159
0.6721 0.5000 0.5618
0.8279 0.0000 0.4382
0.8417 0.0000 0.9841
0.0149 0.5000 0.6765
0.4851 0.0000 0.3235
0.5149 0.0000 0.6765
0.9851 0.5000 0.3235
0.0000 0.5000 0.0000
0.5000 0.0000 0.0000
```

Values from the calculation:
- Space group: C2/m, No. 12
- Total magnetization: 0.0 Bohr magnetons per cell
- Crystal system: monoclinic
- Electronic total energy: -4.1465 eV per atom
- Excess energy over the best structure of this formula in the dataset: 87 meV/atom

AcPr6Sm2: relaxed, PBE.

```
AcPr6Sm2
1.0
5.6375 -9.1557 0.0000
5.6375 9.1557 0.0000
-0.3914 0.0000 6.3533
Ac Pr Sm
2 12 4
direct
0.2496 0.7504 0.7500
0.7504 0.2496 0.2500
0.0176 0.1653 0.9925
0.0876 0.5893 0.2290
0.1653 0.0176 0.4925
0.3341 0.4831 0.0068
0.4107 0.9124 0.2710
0.4831 0.3341 0.5068
0.5169 0.6659 0.4932
0.5893 0.0876 0.7290
0.6659 0.5169 0.9932
0.8347 0.9824 0.5075
0.9124 0.4107 0.7710
0.9824 0.8347 0.0075
0.1571 0.3436 0.4991
0.3436 0.1571 0.9991
0.6564 0.8429 0.0009
0.8429 0.6564 0.5009
```

Values from the calculation:
- Space group: C2/c, No. 15
- Total magnetization: 0.0 Bohr magnetons per cell
- Crystal system: monoclinic
- Electronic total energy: -4.5958 eV per atom
- Excess energy over the best structure of this formula in the dataset: 88 meV/atom

Ac2Pr4Sm7: relaxed, PBE.

```
Ac2Pr4Sm7
1.0
6.3535 0.0000 0.0000
-3.1768 5.5023 0.0000
0.0000 0.0000 13.5967
Ac Pr Sm
2 4 7
direct
0.3333 0.6667 0.0000
0.6667 0.3333 0.0000
0.0000 0.0000 0.3917
0.0000 0.0000 0.6083
0.3333 0.6667 0.5000
0.6667 0.3333 0.5000
0.0000 0.0000 0.0000
0.0000 0.3640 0.2204
0.0000 0.6360 0.7796
0.3640 0.0000 0.2204
0.3640 0.3640 0.7796
0.6360 0.0000 0.7796
0.6360 0.6360 0.2204
```

Values from the calculation:
- Space group: P-31m, No. 162
- Total magnetization: 0.0 Bohr magnetons per cell
- Crystal system: trigonal
- Electronic total energy: -4.4816 eV per atom